1.
Material: CuMoAs2
Method: DFT, SCAN
State: single point on PBEsol structure

For the energy of formation from the pure elements, the calculation gives -0.037 eV per atom. As for the density of states at the Fermi level: 4.110 states/eV per cell.

The space group is Amm2 (No. 38) and the conventional cell measures 3.585, 3.323 and 10.391 Å, with angles of 90.00, 90.00 and 90.00 degrees. Symmetry generates all atoms from Cu at (0.000, 0.000, 0.000), Mo at (0.500, 0.000, 0.813), As at (0.000, 0.000, 0.228) and As at (0.500, 0.000, 0.510).

***

2.
Material: RbHg3Br
Method: DFT, SCAN
State: single point on PBEsol structure

The space group is Pm-3m (No. 221) and the conventional cell measures 6.483, 6.483 and 6.483 Å, with angles of 90.00, 90.00 and 90.00 degrees. Symmetry generates all atoms from Rb at (0.000, 0.000, 0.000), Hg at (0.000, 0.000, 0.500) and Br at (0.500, 0.500, 0.500).

***

3.
Material: ZrFeIr
Method: DFT, SCAN
State: single point on PBEsol structure

For the energy of formation from the pure elements, the calculation gives -0.298 eV per atom. As for the density of states at the Fermi level: 4.233 states/eV per cell.

The space group is F-43m (No. 216) and the conventional cell measures 6.070, 6.070 and 6.070 Å, with angles of 90.00, 90.00 and 90.00 degrees. Symmetry generates all atoms from Zr at (0.000, 0.000, 0.000), Fe at (0.000, 0.000, 0.500) and Ir at (0.250, 0.250, 0.750).

***

4.
Material: NaSr2F2
Method: DFT, SCAN
State: single point on PBEsol structure

As for the density of states at the Fermi level: 3.729 states/eV per cell.

The space group is I4/mmm (No. 139) and the conventional cell measures 4.117, 4.117 and 16.915 Å, with angles of 90.00, 90.00 and 90.00 degrees. Symmetry generates all atoms from Na at (0.000, 0.000, 0.000), Sr at (0.000, 0.000, 0.332) and F at (0.000, 0.500, 0.250).

***

5.
Material: La3YSe
Method: DFT, SCAN
State: single point on PBEsol structure

As for the density of states at the Fermi level: 6.845 states/eV per cell.

The space group is Pm-3m (No. 221) and the conventional cell measures 5.588, 5.588 and 5.588 Å, with angles of 90.00, 90.00 and 90.00 degrees. Symmetry generates all atoms from La at (0.000, 0.000, 0.500), Y at (0.000, 0.000, 0.000) and Se at (0.500, 0.500, 0.500).

***

6.
Material: Rh3Au
Method: DFT, SCAN
State: single point on PBEsol structure

For the energy of formation from the pure elements, the calculation gives 0.207 eV per atom. As for the density of states at the Fermi level: 6.585 states/eV per cell.

The space group is Pmm2 (No. 25) and the conventional cell measures 2.733, 4.462 and 4.715 Å, with angles of 90.00, 90.00 and 90.00 degrees. Symmetry generates all atoms from Rh at (0.000, 0.000, 0.000), Rh at (0.000, 0.500, 0.324), Rh at (0.500, 0.500, 0.844) and Au at (0.500, 0.000, 0.502).

***

7.
Material: K2YRu
Method: DFT, SCAN
State: single point on PBEsol structure

For the energy of formation from the pure elements, the calculation gives 0.807 eV per atom. As for the density of states at the Fermi level: 6.667 states/eV per cell.

The space group is C2/m (No. 12) and the conventional cell measures 5.754, 12.795 and 3.644 Å, with angles of 90.00, 126.64 and 90.00 degrees. Symmetry generates all atoms from K at (0.250, 0.250, 0.000), Y at (0.000, 0.000, 0.500) and Ru at (0.000, 0.500, 0.500).

***

8.
Material: YPSeN2
Method: DFT, SCAN
State: single point on PBEsol structure

As for the density of states at the Fermi level: 2.536 states/eV per cell.

The space group is P4/mmm (No. 123) and the conventional cell measures 4.322, 4.322 and 5.648 Å, with angles of 90.00, 90.00 and 90.00 degrees. Symmetry generates all atoms from Y at (0.000, 0.000, 0.000), P at (0.500, 0.500, 0.500), Se at (0.000, 0.000, 0.500) and N at (0.000, 0.500, 0.000).

***

no.,E_tot (eV per formula unit),V (Å³ per cell),total magnetization (μB/f.u.)
1,-90.61,123.8,0.00
2,-245.39,272.4,0.16
3,-120.82,223.7,3.21
4,-68.05,286.7,0.03
5,-175.37,174.5,0.00
6,-169.64,57.5,0.00
7,-76.10,215.3,0.00
8,-71.95,105.5,2.51